## Ca2BeMo (SCAN)

Data for Ca2BeMo at its PBEsol-relaxed geometry.

Calculated values
Final energy in eV per atom: -13.62
Density in g/cm³: 3.73
Total magnetic moment in μB/cell: 0.0
ΔH_f (0 K) in meV per atom: 1025

Geometry as extended XYZ:
```
4
Lattice="1.5469 0.8931 9.9442 -1.5469 0.8931 9.9442 0.0000 -1.7862 9.9442" Properties=species:S:1:pos:R:3 pbc="T T T"
Ca 0.0000 0.0000 7.4048
Ca 0.0000 0.0000 22.4278
Be 0.0000 0.0000 14.9163
Mo 0.0000 0.0000 0.0000
```


## CaBeMo2 (SCAN)

Data for CaBeMo2 at its PBEsol-relaxed geometry.

Calculated values
Final energy in eV per atom: -20.17
Density in g/cm³: 6.16
Total magnetic moment in μB/cell: 0.0
ΔH_f (0 K) in meV per atom: 774

Geometry as extended XYZ:
```
4
Lattice="3.3188 0.0000 0.0000 0.0000 4.1934 0.0000 0.0000 0.0000 4.6699" Properties=species:S:1:pos:R:3 pbc="T T T"
Ca 0.0000 0.0000 0.0000
Be 1.6594 2.0967 0.0000
Mo 0.0000 2.0967 2.3349
Mo 1.6594 0.0000 2.3349
```


## CaBeMo2 (SCAN)

Data for CaBeMo2 at its PBEsol-relaxed geometry.

Calculated values
Final energy in eV per atom: -20.15
Density in g/cm³: 6.22
Total magnetic moment in μB/cell: 0.0
ΔH_f (0 K) in meV per atom: 801

Geometry as extended XYZ:
```
4
Lattice="2.7042 -4.7809 0.0000 2.7042 4.7809 0.0000 -0.8367 0.0000 2.4899" Properties=species:S:1:pos:R:3 pbc="T T T"
Ca 0.0000 0.0000 0.0000
Be 2.7042 0.0000 0.0000
Mo 0.9337 2.3904 1.2449
Mo 0.9337 -2.3904 1.2449
```


## Ca2BeMo (SCAN)

Data for Ca2BeMo at its PBEsol-relaxed geometry.

Calculated values
Final energy in eV per atom: -13.57
Density in g/cm³: 3.62
Total magnetic moment in μB/cell: 4.6
ΔH_f (0 K) in meV per atom: 1072

Geometry as extended XYZ:
```
8
Lattice="-3.9113 3.9113 2.7743 3.9113 -3.9113 2.7743 3.9113 3.9113 -2.7743" Properties=species:S:1:pos:R:3 pbc="T T T"
Ca 1.9556 1.7175 -0.6936
Ca 2.1937 -1.9556 3.4679
Ca 1.9556 2.1937 2.0807
Ca 1.7175 5.8669 0.6936
Be 0.0000 0.0000 0.0000
Be 0.0000 3.9113 1.3872
Mo 3.9113 0.0000 1.3872
Mo 0.0000 0.0000 2.7743
```


## CaBeMoS2 (SCAN)

Data for CaBeMoS2 at its PBEsol-relaxed geometry.

Calculated values
Final energy in eV per atom: -13.56
Density in g/cm³: 4.13
Total magnetic moment in μB/cell: 3.8
ΔE_f (raw) in meV per atom: 70

Geometry as extended XYZ:
```
5
Lattice="4.4987 0.0000 0.0000 0.0000 4.4987 0.0000 0.0000 0.0000 4.1566" Properties=species:S:1:pos:R:3 pbc="T T T"
Ca 0.0000 0.0000 0.0000
Be 2.2494 2.2494 2.0783
Mo 2.2494 2.2494 0.0000
S 0.0000 2.2494 2.0783
S 2.2494 0.0000 2.0783
```


## Ca2BeN (SCAN)

Data for Ca2BeN at its PBEsol-relaxed geometry.

Calculated values
Final energy in eV per atom: -7.83
Density in g/cm³: 2.53
Total magnetic moment in μB/cell: 0.0
ΔE_f (raw) in meV per atom: 413

Geometry as extended XYZ:
```
4
Lattice="0.0000 3.2338 3.2338 3.2338 0.0000 3.2338 3.2338 3.2338 0.0000" Properties=species:S:1:pos:R:3 pbc="T T T"
Ca 1.6169 1.6169 1.6169
Ca 4.8507 4.8507 4.8507
Be 0.0000 0.0000 0.0000
N 3.2338 3.2338 3.2338
```


## Na2CaBeN (SCAN)

Data for Na2CaBeN at its PBEsol-relaxed geometry.

Calculated values
Final energy in eV per atom: -5.31
Density in g/cm³: 1.21
Total magnetic moment in μB/cell: 0.1
ΔE_f (raw) in meV per atom: 1037

Geometry as extended XYZ:
```
5
Lattice="6.0848 0.0000 0.0000 0.0000 6.0848 0.0000 0.0000 0.0000 4.0311" Properties=species:S:1:pos:R:3 pbc="T T T"
Na 0.0000 3.0424 0.0000
Na 3.0424 0.0000 0.0000
Ca 0.0000 0.0000 0.0000
Be 3.0424 3.0424 2.0156
N 0.0000 0.0000 2.0156
```


## CaBeNO2 (SCAN)

Data for CaBeNO2 at its PBEsol-relaxed geometry.

Calculated values
Final energy in eV per atom: -6.46
Density in g/cm³: 2.00
Total magnetic moment in μB/cell: 3.0
ΔE_f (raw) in meV per atom: 693

Geometry as extended XYZ:
```
5
Lattice="4.2326 0.0000 0.0000 0.0000 4.2326 0.0000 0.0000 0.0000 4.4160" Properties=species:S:1:pos:R:3 pbc="T T T"
Ca 0.0000 0.0000 0.0000
Be 2.1163 2.1163 2.2080
N 0.0000 0.0000 2.2080
O 0.0000 2.1163 0.0000
O 2.1163 0.0000 0.0000
```


## Ca2BeRhN (SCAN)

Data for Ca2BeRhN at its PBEsol-relaxed geometry.

Calculated values
Final energy in eV per atom: -13.68
Density in g/cm³: 3.84
Total magnetic moment in μB/cell: 0.0
ΔE_f (raw) in meV per atom: -334

Geometry as extended XYZ:
```
5
Lattice="4.8695 0.0000 0.0000 0.0000 4.8695 0.0000 0.0000 0.0000 3.7619" Properties=species:S:1:pos:R:3 pbc="T T T"
Ca 0.0000 2.4347 0.0000
Ca 2.4347 0.0000 0.0000
Be 0.0000 0.0000 1.8810
Rh 2.4347 2.4347 1.8810
N 2.4347 2.4347 0.0000
```


## NaCa2ZrBe (SCAN)

Data for NaCa2ZrBe at its PBEsol-relaxed geometry.

Calculated values
Final energy in eV per atom: -10.62
Density in g/cm³: 2.49
Total magnetic moment in μB/cell: 1.8
ΔH_f (0 K) in meV per atom: 1101

Geometry as extended XYZ:
```
5
Lattice="5.3782 0.0000 0.0000 0.0000 5.3782 0.0000 0.0000 0.0000 4.6797" Properties=species:S:1:pos:R:3 pbc="T T T"
Na 0.0000 0.0000 0.0000
Ca 0.0000 2.6891 0.0000
Ca 2.6891 0.0000 0.0000
Zr 2.6891 2.6891 2.3398
Be 0.0000 0.0000 2.3398
```


## CaBe3Nb (SCAN)

Data for CaBe3Nb at its PBEsol-relaxed geometry.

Calculated values
Final energy in eV per atom: -9.17
Density in g/cm³: 3.45
Total magnetic moment in μB/cell: 0.0
ΔH_f (0 K) in meV per atom: 2001

Geometry as extended XYZ:
```
5
Lattice="4.2561 0.0000 0.0000 0.0000 4.2561 0.0000 0.0000 0.0000 4.2561" Properties=species:S:1:pos:R:3 pbc="T T T"
Ca 0.0000 0.0000 0.0000
Be 0.0000 0.0000 2.1280
Be 0.0000 2.1280 0.0000
Be 2.1280 0.0000 0.0000
Nb 2.1280 2.1280 2.1280
```


## CaBeNi2 (SCAN)

Data for CaBeNi2 at its PBEsol-relaxed geometry.

Calculated values
Final energy in eV per atom: -11.22
Density in g/cm³: 5.08
Total magnetic moment in μB/cell: 0.0
ΔH_f (0 K) in meV per atom: 366

Geometry as extended XYZ:
```
4
Lattice="0.0000 3.0072 3.0072 3.0072 0.0000 3.0072 3.0072 3.0072 0.0000" Properties=species:S:1:pos:R:3 pbc="T T T"
Ca 0.0000 0.0000 0.0000
Be 1.5036 1.5036 1.5036
Ni 3.0072 3.0072 3.0072
Ni 4.5107 4.5107 4.5107
```


## CaBeNi2 (SCAN)

Data for CaBeNi2 at its PBEsol-relaxed geometry.

Calculated values
Final energy in eV per atom: -11.32
Density in g/cm³: 5.19
Total magnetic moment in μB/cell: 0.0
ΔH_f (0 K) in meV per atom: 274

Geometry as extended XYZ:
```
4
Lattice="3.9275 0.0000 0.0000 0.0000 3.9275 0.0000 0.0000 0.0000 3.4562" Properties=species:S:1:pos:R:3 pbc="T T T"
Ca 0.0000 0.0000 0.0000
Be 1.9637 1.9637 0.0000
Ni 0.0000 1.9637 1.7281
Ni 1.9637 0.0000 1.7281
```


## Ca2BeReNi (SCAN)

Data for Ca2BeReNi at its PBEsol-relaxed geometry.

Calculated values
Final energy in eV per atom: -20.98
Density in g/cm³: 4.74
Total magnetic moment in μB/cell: 1.9
ΔH_f (0 K) in meV per atom: 1214

Geometry as extended XYZ:
```
5
Lattice="5.2493 0.0000 0.0000 0.0000 5.2493 0.0000 0.0000 0.0000 4.2448" Properties=species:S:1:pos:R:3 pbc="T T T"
Ca 0.0000 2.6247 0.0000
Ca 2.6247 0.0000 0.0000
Be 0.0000 0.0000 2.1224
Re 0.0000 0.0000 0.0000
Ni 2.6247 2.6247 2.1224
```


## CaBeO2 (SCAN)

Data for CaBeO2 at its PBEsol-relaxed geometry.

Calculated values
Final energy in eV per atom: -7.96
Density in g/cm³: 2.90
Total magnetic moment in μB/cell: 0.3
ΔE_f (raw) in meV per atom: -1339

Geometry as extended XYZ:
```
4
Lattice="1.5089 0.8711 5.8801 -1.5089 0.8711 5.8801 0.0000 -1.7423 5.8801" Properties=species:S:1:pos:R:3 pbc="T T T"
Ca 0.0000 0.0000 0.0000
Be 0.0000 0.0000 8.8201
O 0.0000 0.0000 2.0476
O 0.0000 0.0000 15.5927
```


## Ca3BeO (SCAN)

Data for Ca3BeO at its PBEsol-relaxed geometry.

Calculated values
Final energy in eV per atom: -7.61
Density in g/cm³: 1.72
Total magnetic moment in μB/cell: 0.0
ΔE_f (raw) in meV per atom: 309

Geometry as extended XYZ:
```
5
Lattice="5.1968 0.0000 0.0000 0.0000 5.1968 0.0000 0.0000 0.0000 5.1968" Properties=species:S:1:pos:R:3 pbc="T T T"
Ca 0.0000 0.0000 2.5984
Ca 0.0000 2.5984 0.0000
Ca 2.5984 0.0000 0.0000
Be 0.0000 0.0000 0.0000
O 2.5984 2.5984 2.5984
```


## CaBeO2 (SCAN)

Data for CaBeO2 at its PBEsol-relaxed geometry.

Calculated values
Final energy in eV per atom: -9.49
Density in g/cm³: 2.40
Total magnetic moment in μB/cell: 0.0
ΔE_f (raw) in meV per atom: -2866

Geometry as extended XYZ:
```
4
Lattice="1.7547 1.0131 5.2618 -1.7547 1.0131 5.2618 0.0000 -2.0261 5.2618" Properties=species:S:1:pos:R:3 pbc="T T T"
Ca 0.0000 0.0000 0.0000
Be 0.0000 0.0000 7.8928
O 0.0000 0.0000 6.4537
O 0.0000 0.0000 9.3318
```


## Ca2PrBeO5 (SCAN)

Data for Ca2PrBeO5 at its PBEsol-relaxed geometry.

Calculated values
Final energy in eV per atom: -13.96
Density in g/cm³: 4.82
Total magnetic moment in μB/cell: 4.1
ΔE_f (raw) in meV per atom: -3051

Geometry as extended XYZ:
```
36
Lattice="9.2306 0.0000 0.0000 0.0000 7.2199 0.0000 0.0000 0.0000 6.4142" Properties=species:S:1:pos:R:3 pbc="T T T"
Ca 1.5942 0.2021 0.5314
Ca 1.5942 3.4079 0.5314
Ca 3.0211 3.8120 3.7386
Ca 3.0211 7.0178 3.7386
Ca 6.2095 0.2021 2.6757
Ca 6.2095 3.4079 2.6757
Ca 7.6364 3.8120 5.8828
Ca 7.6364 7.0178 5.8828
Pr 0.2564 1.8050 3.8405
Pr 4.3589 5.4149 0.6334
Pr 4.8716 1.8050 5.7808
Pr 8.9742 5.4149 2.5737
Be 0.9712 5.4149 5.2000
Be 3.6441 1.8050 1.9929
Be 5.5865 5.4149 4.4213
Be 8.2594 1.8050 1.2142
O 0.1179 5.4149 0.1788
O 0.6401 4.0500 4.4229
O 0.6401 6.7799 4.4229
O 2.0531 1.8050 2.3074
O 2.1508 5.4149 2.0953
O 2.4645 1.8050 5.3024
O 2.5622 5.4149 5.5145
O 3.9752 0.4400 1.2158
O 3.9752 3.1700 1.2158
O 4.4974 1.8050 3.3859
O 4.7332 5.4149 3.0283
O 5.2554 4.0500 5.1984
O 5.2554 6.7799 5.1984
O 6.6684 1.8050 0.8997
O 6.7661 5.4149 1.1118
O 7.0798 1.8050 4.3189
O 7.1775 5.4149 4.1069
O 8.5904 0.4400 1.9913
O 8.5904 3.1700 1.9913
O 9.1127 1.8050 6.2354
```


## CaY2BeO5 (SCAN)

Data for CaY2BeO5 at its PBEsol-relaxed geometry.

Calculated values
Final energy in eV per atom: -14.76
Density in g/cm³: 5.16
Total magnetic moment in μB/cell: 0.0
ΔE_f (raw) in meV per atom: -3554

Geometry as extended XYZ:
```
36
Lattice="9.1390 0.0000 0.0000 0.0000 6.2585 0.0000 0.0000 0.0000 6.9121" Properties=species:S:1:pos:R:3 pbc="T T T"
Ca 1.6064 0.5040 0.0000
Ca 2.9632 3.6333 3.4561
Ca 6.1759 2.6252 0.0000
Ca 7.5327 5.7545 3.4561
Y 0.1978 3.7335 5.2877
Y 1.5855 0.4414 3.7716
Y 2.9840 3.5706 0.3156
Y 4.3718 0.6042 1.8316
Y 4.7673 5.6543 5.2877
Y 6.1550 2.6879 3.7716
Y 7.5535 5.8172 0.3156
Y 8.9413 2.5250 1.8316
Be 0.9513 5.0411 1.8419
Be 3.6182 1.9118 5.2980
Be 5.5208 4.3467 1.8419
Be 8.1878 1.2175 5.2980
O 0.0861 0.1506 1.8581
O 0.6613 4.3325 3.2250
O 0.6701 4.2562 0.4885
O 1.9888 2.2595 5.2991
O 2.0378 2.0957 1.8439
O 2.5317 5.2249 5.3000
O 2.5808 5.3888 1.8430
O 3.8995 1.1269 3.9446
O 3.9082 1.2032 6.6811
O 4.4834 3.2799 5.3142
O 4.6556 2.9787 1.8581
O 5.2308 5.0554 3.2250
O 5.2396 5.1316 0.4885
O 6.5583 0.8697 5.2991
O 6.6073 1.0336 1.8439
O 7.1012 4.1629 5.3000
O 7.1503 3.9990 1.8430
O 8.4690 2.0024 3.9446
O 8.4777 1.9261 6.6811
O 9.0530 6.1080 5.3142
```


## CaBeOs3 (SCAN)

Data for CaBeOs3 at its PBEsol-relaxed geometry.

Calculated values
Final energy in eV per atom: -42.32
Density in g/cm³: 11.06
Total magnetic moment in μB/cell: 1.1
ΔH_f (0 K) in meV per atom: 3608

Geometry as extended XYZ:
```
5
Lattice="4.5321 0.0000 0.0000 0.0000 4.5321 0.0000 0.0000 0.0000 4.5321" Properties=species:S:1:pos:R:3 pbc="T T T"
Ca 0.0000 0.0000 0.0000
Be 2.2661 2.2661 2.2661
Os 0.0000 0.0000 2.2661
Os 0.0000 2.2661 0.0000
Os 2.2661 0.0000 0.0000
```